The following is a DFT calculation (PBE with a Hubbard U) of a geometry-optimized Na2DyNiO4 structure.

Energy: -5.5238 eV/atom
Volume: 99.1 Å³ per cell

a = 5.486 Å, b = 3.282 Å, c = 5.813 Å
α = 90.00°, β = 108.79°, γ = 90.00°
Element x y z (fractional)
Na1 0.000 0.000 0.000
Na2 0.500 0.500 0.000
Dy1 0.000 0.500 0.500
Ni1 0.500 0.000 0.500
O1 0.260 0.000 0.708
O2 0.282 0.500 0.292
O3 0.718 0.500 0.708
O4 0.740 0.000 0.292